1.
A plane-wave DFT calculation with PBEsol was carried out for crystalline GePO2 at its relaxed geometry.

Energy (eV per atom): -5.65
Raw formation energy (kJ/mol of atoms): -33.0
Mass density (g/cm3): 3.8

Cell lengths 5.495, 5.495, 5.495 Å; angles 60.00, 60.00, 60.00 degrees
Fractional coordinates of all 8 atoms:
1 O 0.125 0.625 0.625
2 O 0.625 0.625 0.625
3 O 0.625 0.125 0.625
4 O 0.625 0.625 0.125
5 Ge 0.250 0.250 0.250
6 Ge 0.000 0.000 0.000
7 P 0.750 0.750 0.750
8 P 0.500 0.500 0.500

=====

2.
A plane-wave DFT calculation with PBEsol was carried out for crystalline GeP2O7 at its relaxed geometry.

Energy (eV per atom): -7.37
Raw formation energy (kJ/mol of atoms): -197.0
Mass density (g/cm3): 3.5

Cell lengths 4.682, 6.759, 7.790 Å; angles 91.54, 92.78, 105.25 degrees
Fractional coordinates of all 20 atoms:
1 O 0.701 0.407 0.325
2 O 0.617 0.329 0.658
3 O 0.305 0.966 0.636
4 O 0.156 0.294 0.438
5 O 0.844 0.706 0.562
6 O 0.352 0.167 0.920
7 O 0.205 0.936 0.194
8 O 0.956 0.234 0.121
9 O 0.795 0.064 0.806
10 O 0.695 0.034 0.364
11 O 0.299 0.593 0.675
12 O 0.383 0.671 0.342
13 O 0.648 0.833 0.080
14 O 0.044 0.766 0.879
15 P 0.521 0.139 0.763
16 P 0.889 0.254 0.310
17 P 0.479 0.861 0.237
18 P 0.111 0.746 0.690
19 Ge 0.500 0.500 0.500
20 Ge 0.000 0.000 0.000

=====

3.
A plane-wave DFT calculation with PBEsol was carried out for crystalline GeSbP2O at its relaxed geometry.

Energy (eV per atom): -4.82
Raw formation energy (kJ/mol of atoms): 42.6
Mass density (g/cm3): 4.6

Cell lengths 3.871, 5.026, 5.026 Å; angles 90.00, 90.00, 90.00 degrees
Fractional coordinates of all 5 atoms:
1 Sb 0.000 0.000 0.000
2 O 0.500 0.000 0.000
3 P 0.000 0.500 0.000
4 P 0.000 0.000 0.500
5 Ge 0.500 0.500 0.500

=====

4.
A plane-wave DFT calculation with PBEsol was carried out for crystalline ScGeP2O at its relaxed geometry.

Energy (eV per atom): -5.97
Raw formation energy (kJ/mol of atoms): -28.1
Mass density (g/cm3): 3.9

Cell lengths 3.623, 4.771, 4.771 Å; angles 90.00, 90.00, 90.00 degrees
Fractional coordinates of all 5 atoms:
1 P 0.000 0.000 0.500
2 P 0.000 0.500 0.000
3 Sc 0.500 0.500 0.500
4 O 0.500 0.000 0.000
5 Ge 0.000 0.000 0.000

=====

5.
A plane-wave DFT calculation with PBEsol was carried out for crystalline GeTe2PO at its relaxed geometry.

Energy (eV per atom): -4.44
Raw formation energy (kJ/mol of atoms): 16.0
Mass density (g/cm3): 6.0

Cell lengths 3.590, 5.371, 5.371 Å; angles 90.00, 90.00, 90.00 degrees
Fractional coordinates of all 5 atoms:
1 Te 0.000 0.500 0.000
2 Te 0.000 0.000 0.500
3 O 0.500 0.000 0.000
4 Ge 0.000 0.000 0.000
5 P 0.500 0.500 0.500

=====

6.
A plane-wave DFT calculation with PBEsol was carried out for crystalline GePbO2 at its relaxed geometry.

Energy (eV per atom): -5.30
Raw formation energy (kJ/mol of atoms): -42.9
Mass density (g/cm3): 9.3

Cell lengths 4.281, 4.281, 4.281 Å; angles 60.00, 60.00, 60.00 degrees
Fractional coordinates of all 4 atoms:
1 Ge 0.000 0.000 0.000
2 O 0.250 0.250 0.250
3 O 0.750 0.750 0.750
4 Pb 0.500 0.500 0.500